# 1
VASP calculation (PBE) on crystalline RbBa2Cd8 at its relaxed geometry.

Results
V	704.4	Å³/cell
E_tot	-1.314	eV/atom

a = 9.577 Å, b = 16.847 Å, c = 5.192 Å
α = 90.00°, β = 122.77°, γ = 90.00°
Space group C2/m (No. 12)
Asymmetric unit:
Rb: 0.000 0.000 0.000 x2
Ba: 0.000 0.361 0.500 x4
Cd: 0.000 0.216 0.000 x4
Cd: 0.180 0.500 0.178 x4
Cd: 0.187 0.167 0.686 x8

# 2
VASP calculation (PBE) on crystalline RbBa2Cd at its relaxed geometry.

Results
V	747.3	Å³/cell
E_tot	-1.422	eV/atom

a = 4.5836 Å, b = 4.5836 Å, c = 41.0746 Å
α = 90.00°, β = 90.00°, γ = 120.00°
Space group R-3m (No. 166, hexagonal axes)
Asymmetric unit:
Rb: 0.0000 0.0000 0.0000 x3
Ba: 0.0000 0.0000 0.1093 x6
Cd: 0.0000 0.0000 0.5000 x3

What magnetization values result from the calculations? In sequence: 0.000, 1.196 μB per cell.